[1]
First-principles (PBE) data for a relaxed BiH2Pb2 crystal, as listed in Alexandria.

Calculated values
The total magnetic moment is 0.000 μB per formula unit. The electronic total energy comes out at -16.5 eV/cell.

CIF file:
```
data_BiH2Pb2
_space_group_name_H-M_alt 'P 1'
_space_group_IT_number 1
_cell_length_a 3.9593
_cell_length_b 3.9593
_cell_length_c 7.2709
_cell_angle_alpha 74.20
_cell_angle_beta 74.20
_cell_angle_gamma 90.00
loop_
_space_group_symop_operation_xyz
'x,y,z'
loop_
_atom_site_label
_atom_site_fract_x
_atom_site_fract_y
_atom_site_fract_z
Pb1 0.3495 0.3495 0.3009
Pb2 0.6505 0.6505 0.6991
H1 0.7500 0.2500 0.5000
H2 0.2500 0.7500 0.5000
Bi1 0.0000 0.0000 0.0000
```


[2]
First-principles (PBE) data for a relaxed BiHPdPb2 crystal, as listed in Alexandria.

Calculated values
The total magnetic moment is 0.000 μB per formula unit. The electronic total energy comes out at -19.8 eV/cell.

CIF file:
```
data_BiHPdPb2
_space_group_name_H-M_alt 'P 1'
_space_group_IT_number 1
_cell_length_a 5.8202
_cell_length_b 5.8202
_cell_length_c 3.4613
_cell_angle_alpha 90.00
_cell_angle_beta 90.00
_cell_angle_gamma 90.00
loop_
_space_group_symop_operation_xyz
'x,y,z'
loop_
_atom_site_label
_atom_site_fract_x
_atom_site_fract_y
_atom_site_fract_z
Pb1 0.0000 0.5000 0.0000
Pb2 0.5000 0.0000 0.0000
H1 0.0000 0.0000 0.5000
Bi1 0.5000 0.5000 0.5000
Pd1 0.0000 0.0000 0.0000
```


[3]
First-principles (PBE) data for a relaxed BiH2Pd7Pb2 crystal, as listed in Alexandria.

Calculated values
The total magnetic moment is 0.000 μB per formula unit. The electronic total energy comes out at -56.7 eV/cell.

CIF file:
```
data_BiH2Pd7Pb2
_space_group_name_H-M_alt 'P 1'
_space_group_IT_number 1
_cell_length_a 4.0913
_cell_length_b 4.0913
_cell_length_c 11.8641
_cell_angle_alpha 80.06
_cell_angle_beta 80.06
_cell_angle_gamma 90.04
loop_
_space_group_symop_operation_xyz
'x,y,z'
loop_
_atom_site_label
_atom_site_fract_x
_atom_site_fract_y
_atom_site_fract_z
Bi1 0.0000 0.0000 0.0000
H1 0.5900 0.5900 0.8230
H2 0.4100 0.4100 0.1770
Pd1 0.5000 0.5000 0.0000
Pd2 0.3235 0.3235 0.3574
Pd3 0.6765 0.6765 0.6426
Pd4 0.9095 0.4092 0.1855
Pd5 0.4092 0.9095 0.1855
Pd6 0.5908 0.0905 0.8145
Pd7 0.0905 0.5908 0.8145
Pb1 0.8042 0.8042 0.3963
Pb2 0.1958 0.1958 0.6037
```


- What is the total magnetic moment in the first record?
  0.000 μB per formula unit


- Number 2 is which compound?
  BiHPdPb2